Run i
VASP calculation (PBE) on crystalline CaMgTl3 at its relaxed geometry.

```
5
Lattice="-1.606 -0.759 5.184 4.485 -3.002 0.950 2.708 4.521 1.501" Properties=species:S:1:pos:R:3 pbc="T T T"
Mg 0.000 0.000 0.000
Tl 2.242 -1.501 0.475
Tl 1.354 2.260 0.750
Tl -0.803 -0.380 2.592
Ca 2.794 0.380 3.817
```

## Properties
crystal system = cubic
spin magnetization = 0.0 μB per formula unit
SG = Pm-3m (221)
density = 6.8 g cm⁻³



Run ii
VASP calculation (PBE) on crystalline CaMgTl3 at its relaxed geometry.

```
10
Lattice="5.364 0.000 0.489 0.000 3.650 0.000 -1.318 -1.825 14.500" Properties=species:S:1:pos:R:3 pbc="T T T"
Ca 0.207 0.000 12.597
Ca 3.838 1.825 2.392
Mg 0.996 0.000 3.894
Mg 3.050 1.825 11.095
Tl 2.787 1.825 13.968
Tl 1.259 0.000 1.021
Tl 0.761 1.825 6.503
Tl 3.285 0.000 8.486
Tl 0.476 1.825 9.666
Tl 3.570 0.000 5.323
```

## Properties
crystal system = orthorhombic
spin magnetization = 0.0 μB per formula unit
SG = Cmcm (63)
density = 7.9 g cm⁻³



In eV/atom, relative to the most stable structure: run i 0.213; run ii 0.000.



Run i
VASP calculation (PBE) on crystalline Ca2MgTl3 at its relaxed geometry.

```
12
Lattice="5.380 0.000 0.021 2.690 8.074 0.011 -0.030 0.000 7.628" Properties=species:S:1:pos:R:3 pbc="T T T"
Ca 0.000 0.000 0.000
Ca -0.015 0.000 3.814
Ca 2.675 2.651 3.824
Ca 5.365 5.424 3.835
Mg 2.690 2.607 0.011
Mg 5.380 5.468 0.021
Tl 5.357 2.804 5.916
Tl 2.683 0.000 1.816
Tl 2.683 5.270 1.744
Tl 5.374 2.804 1.754
Tl 2.667 5.270 5.905
Tl 2.667 0.000 5.833
```

## Properties
crystal system = orthorhombic
spin magnetization = 0.0 μB per formula unit
SG = Cmmm (65)
density = 7.2 g cm⁻³



Run ii
VASP calculation (PBE) on crystalline Ca2MgTl3 at its relaxed geometry.

```
12
Lattice="6.286 -0.934 0.000 -1.178 6.245 0.000 -2.554 -2.655 8.924" Properties=species:S:1:pos:R:3 pbc="T T T"
Ca -0.589 3.123 4.462
Ca 3.864 4.017 0.000
Ca 3.143 -0.467 4.462
Ca 1.244 1.294 0.000
Mg 2.554 2.655 2.987
Mg 0.000 0.000 5.937
Tl 0.749 4.392 1.532
Tl -1.805 1.736 7.392
Tl 1.805 -1.736 7.392
Tl 4.360 0.919 1.532
Tl 0.000 0.000 3.048
Tl 2.554 2.655 5.876
```

## Properties
crystal system = orthorhombic
spin magnetization = 0.0 μB per formula unit
SG = Fmmm (69)
density = 7.0 g cm⁻³



In eV/atom, relative to the most stable structure: run i 0.000; run ii 0.057.



Run i
VASP calculation (PBE) on crystalline CaMg6Tl12 at its relaxed geometry.

```
19
Lattice="-1.148 -2.573 7.916 1.942 -7.107 -4.040 7.357 4.042 0.368" Properties=species:S:1:pos:R:3 pbc="T T T"
Ca 0.000 0.000 0.000
Mg 2.767 -5.675 1.256
Mg 1.871 -4.240 4.056
Mg 4.602 -3.999 -0.870
Mg 5.385 0.038 2.988
Mg 6.281 -1.398 0.188
Mg 3.549 -1.639 5.114
Tl 4.933 -4.407 4.794
Tl 5.848 -5.466 1.629
Tl 7.185 -2.552 2.932
Tl 3.218 -1.230 -0.550
Tl 2.303 -0.171 2.615
Tl 0.966 -3.085 1.312
Tl 2.976 -7.129 4.012
Tl 1.683 -4.887 -1.533
Tl 0.455 -1.663 5.108
Tl 5.175 1.492 0.232
Tl 6.469 -0.751 5.777
Tl 7.697 -3.975 -0.864
```

## Properties
crystal system = trigonal
spin magnetization = 0.0 μB per formula unit
SG = R-3 (148)
density = 8.1 g cm⁻³



Run ii
VASP calculation (PBE) on crystalline CaMg6Tl12 at its relaxed geometry.

```
19
Lattice="-4.672 5.341 3.960 -4.340 -7.834 -0.113 -1.264 -3.134 8.294" Properties=species:S:1:pos:R:3 pbc="T T T"
Ca 0.000 0.000 0.000
Mg -4.405 -2.123 3.420
Mg -3.891 -6.804 4.390
Mg -5.953 -6.475 7.072
Mg -5.871 -3.504 8.720
Mg -6.384 1.177 7.750
Mg -4.323 0.847 5.069
Tl -6.424 -4.701 4.241
Tl -8.045 -5.943 9.562
Tl -6.017 -0.687 10.423
Tl -3.852 -0.927 7.900
Tl -2.231 0.316 2.579
Tl -4.259 -4.941 1.718
Tl -3.923 -4.020 6.220
Tl -2.192 -2.534 0.965
Tl -1.843 -1.359 5.350
Tl -6.353 -1.607 5.921
Tl -8.084 -3.093 11.176
Tl -8.433 -4.268 6.791
```

## Properties
crystal system = trigonal
spin magnetization = 0.0 μB per formula unit
SG = R-3 (148)
density = 8.5 g cm⁻³



In eV/atom, relative to the most stable structure: run i 0.028; run ii 0.000.



Run i
VASP calculation (PBE) on crystalline CaMg3Tl2 at its relaxed geometry.

```
12
Lattice="4.634 0.000 -1.261 -0.707 7.454 -2.598 -0.010 -0.106 9.108" Properties=species:S:1:pos:R:3 pbc="T T T"
Ca 0.411 1.252 1.511
Ca 3.505 6.095 3.739
Mg 2.575 6.745 0.320
Mg -0.157 5.129 -0.578
Mg 1.340 3.642 4.924
Mg 2.577 3.705 0.326
Mg 4.074 2.218 5.827
Mg 1.341 0.602 4.929
Tl 1.813 6.101 -2.481
Tl 2.103 1.247 7.730
Tl 0.626 5.032 2.300
Tl 3.291 2.315 2.949
```

## Properties
crystal system = monoclinic
spin magnetization = 0.0 μB per formula unit
SG = C2/m (12)
density = 5.5 g cm⁻³



Run ii
VASP calculation (PBE) on crystalline CaMg3Tl2 at its relaxed geometry.

```
12
Lattice="-0.075 2.701 -3.929 -7.970 -0.859 2.455 5.216 6.472 4.349" Properties=species:S:1:pos:R:3 pbc="T T T"
Ca -0.790 8.096 2.686
Ca -2.040 0.218 0.189
Mg -2.139 3.199 2.240
Mg -3.965 5.660 1.072
Mg 2.160 5.876 1.104
Mg -4.989 2.439 1.771
Mg 1.136 2.655 1.803
Mg -0.690 5.115 0.636
Tl -2.932 5.674 3.956
Tl 0.103 2.640 -1.081
Tl -3.218 3.219 -0.619
Tl 0.389 5.095 3.495
```

## Properties
crystal system = monoclinic
spin magnetization = 0.0 μB per formula unit
SG = C2/m (12)
density = 5.5 g cm⁻³



In eV/atom, relative to the most stable structure: run i 0.000; run ii 0.013.